# 1
Material: Er3MgAg2
Method: DFT, PBE
State: relaxed

Values from the calculation:
crystal system = tetragonal
density of states at the Fermi level = 4.510 states/eV/cell
formation energy from the elements = -237 meV per atom

Unit cell a=3.6420 b=3.6420 c=11.0242 alpha=90.00 beta=90.00 gamma=90.00
Positions (direct):
Ag 0.5000 0.5000 0.8331
Ag 0.5000 0.5000 0.1669
Er 0.0000 0.0000 0.6763
Er 0.0000 0.0000 0.3237
Er 0.0000 0.0000 0.0000
Mg 0.5000 0.5000 0.5000


# 2
Material: ErMgAg6
Method: DFT, PBE
State: relaxed

Values from the calculation:
distance to the lowest polymorph of the same formula = 62.2 meV/atom
crystal system = tetragonal
density of states at the Fermi level = 4.758 states/eV/cell
formation energy from the elements = -124 meV per atom

Unit cell a=4.2701 b=4.2701 c=8.4846 alpha=90.00 beta=90.00 gamma=90.00
Positions (direct):
Er 0.0000 0.0000 0.0000
Ag 0.5000 0.5000 0.0000
Ag 0.0000 0.5000 0.2599
Ag 0.5000 0.5000 0.5000
Ag 0.0000 0.5000 0.7401
Ag 0.5000 0.0000 0.2599
Ag 0.5000 0.0000 0.7401
Mg 0.0000 0.0000 0.5000


# 3
Material: ErMg3Ag4
Method: DFT, PBE
State: relaxed

Values from the calculation:
crystal system = tetragonal
density of states at the Fermi level = 6.677 states/eV/cell
formation energy from the elements = -244 meV per atom

Unit cell a=4.8032 b=6.9254 c=9.6076 alpha=90.00 beta=90.00 gamma=90.00
Positions (direct):
Mg 0.0000 0.0000 0.5000
Mg 0.5003 0.5000 0.7500
Mg 0.5007 0.0000 0.7500
Mg 0.0000 0.0000 0.0000
Mg 0.4997 0.5000 0.2500
Mg 0.4993 0.0000 0.2500
Ag 0.5000 0.7652 0.0000
Ag 0.9991 0.2350 0.2500
Ag 0.0009 0.7650 0.7500
Ag 0.5000 0.7652 0.5000
Ag 0.5000 0.2348 0.5000
Ag 0.5000 0.2348 0.0000
Ag 0.9991 0.7650 0.2500
Ag 0.0009 0.2350 0.7500
Er 0.0000 0.5000 0.5000
Er 0.0000 0.5000 0.0000


# 4
Material: Er3MgAg3
Method: DFT, PBE
State: relaxed

Values from the calculation:
crystal system = monoclinic
density of states at the Fermi level = 10.555 states/eV/cell
formation energy from the elements = -135 meV per atom

Unit cell a=7.0370 b=7.0370 c=7.0186 alpha=91.94 beta=91.94 gamma=95.94
Positions (direct):
Er 0.7370 0.2630 0.0000
Er 0.6411 0.6411 0.3627
Er 0.1724 0.8276 0.5000
Er 0.2630 0.7370 0.0000
Er 0.8276 0.1724 0.5000
Er 0.3589 0.3589 0.6373
Mg 0.2801 0.2801 0.1398
Mg 0.7199 0.7199 0.8602
Ag 0.9188 0.9188 0.1703
Ag 0.0182 0.4964 0.2781
Ag 0.9818 0.5036 0.7219
Ag 0.5036 0.9818 0.7219
Ag 0.4964 0.0182 0.2781
Ag 0.0812 0.0812 0.8297


# 5
Material: Er8Mg2Ag
Method: DFT, PBE
State: relaxed

Values from the calculation:
crystal system = monoclinic
density of states at the Fermi level = 12.353 states/eV/cell
formation energy from the elements = 17 meV per atom

Unit cell a=5.3307 b=7.0739 c=9.1306 alpha=107.89 beta=106.97 gamma=90.00
Positions (direct):
Er 0.0207 0.7707 0.0415
Er 0.4038 0.5557 0.8076
Er 0.1906 0.2645 0.3811
Er 0.5962 0.4443 0.1924
Er 0.8094 0.7355 0.6189
Er 0.6601 0.9468 0.3202
Er 0.9793 0.2293 0.9585
Er 0.3399 0.0532 0.6798
Mg 0.1869 0.6946 0.3738
Mg 0.8131 0.3054 0.6262
Ag 0.5000 0.0000 0.0000


# 6
Material: ErMg2Ag8
Method: DFT, PBE
State: relaxed

Values from the calculation:
crystal system = monoclinic
density of states at the Fermi level = 4.025 states/eV/cell
formation energy from the elements = -175 meV per atom

Unit cell a=4.3081 b=6.7771 c=7.7550 alpha=107.21 beta=106.13 gamma=90.00
Positions (direct):
Ag 0.0441 0.7231 0.0883
Ag 0.8580 0.8007 0.7160
Ag 0.6840 0.9104 0.3679
Ag 0.3160 0.0896 0.6321
Ag 0.9559 0.2769 0.9117
Ag 0.4033 0.5357 0.8065
Ag 0.5967 0.4643 0.1935
Ag 0.1420 0.1993 0.2840
Mg 0.7752 0.3492 0.5504
Mg 0.2248 0.6508 0.4496
Er 0.5000 0.0000 0.0000


# 7
Material: Er3MgAg
Method: DFT, PBE
State: relaxed

Values from the calculation:
distance to the lowest polymorph of the same formula = 102.7 meV/atom
crystal system = monoclinic
density of states at the Fermi level = 21.876 states/eV/cell
formation energy from the elements = -8 meV per atom

Unit cell a=6.6547 b=6.6547 c=14.5848 alpha=84.72 beta=84.72 gamma=57.25
Positions (direct):
Mg 0.3392 0.5517 0.0848
Mg 0.5517 0.3392 0.5848
Mg 0.6608 0.4483 0.9152
Mg 0.4483 0.6608 0.4152
Er 0.3623 0.9637 0.2036
Er 0.8746 0.5090 0.1036
Er 0.9639 0.1689 0.3905
Er 0.4910 0.1254 0.3964
Er 0.9637 0.3623 0.7036
Er 0.5090 0.8746 0.6036
Er 0.8311 0.0361 0.1095
Er 0.6377 0.0363 0.7964
Er 0.0361 0.8311 0.6095
Er 0.0363 0.6377 0.2964
Er 0.1689 0.9639 0.8905
Er 0.1254 0.4910 0.8964
Ag 0.4112 0.5888 0.7500
Ag 0.5000 0.0000 0.0000
Ag 0.5888 0.4112 0.2500
Ag 0.0000 0.5000 0.5000


# 8
Material: ErMg4Ag2
Method: DFT, PBE
State: relaxed

Values from the calculation:
distance to the lowest polymorph of the same formula = 22.4 meV/atom
crystal system = orthorhombic
density of states at the Fermi level = 4.034 states/eV/cell
formation energy from the elements = -124 meV per atom

Unit cell a=4.2252 b=4.2873 c=8.9183 alpha=103.91 beta=90.00 gamma=90.00
Positions (direct):
Er 0.0000 0.0000 0.0000
Mg 0.5000 0.1786 0.3572
Mg 0.0000 0.6805 0.3610
Mg 0.5000 0.8214 0.6428
Mg 0.0000 0.3195 0.6390
Ag 0.5000 0.4224 0.8449
Ag 0.5000 0.5776 0.1551


# 9
Material: Er2MgAg6
Method: DFT, PBE
State: relaxed

Values from the calculation:
crystal system = monoclinic
density of states at the Fermi level = 10.019 states/eV/cell
formation energy from the elements = -189 meV per atom

Unit cell a=5.1748 b=8.6995 c=8.6995 alpha=73.00 beta=82.13 gamma=82.13
Positions (direct):
Mg 0.2500 0.1290 0.8710
Mg 0.7500 0.8710 0.1290
Er 0.5793 0.4628 0.2083
Er 0.0793 0.2083 0.4628
Er 0.4207 0.5372 0.7917
Er 0.9207 0.7917 0.5372
Ag 0.6323 0.0957 0.3411
Ag 0.1930 0.9915 0.2209
Ag 0.3070 0.7791 0.0085
Ag 0.4726 0.6878 0.4225
Ag 0.8070 0.0085 0.7791
Ag 0.0274 0.5775 0.3122
Ag 0.5274 0.3122 0.5775
Ag 0.3677 0.9043 0.6589
Ag 0.9726 0.4225 0.6878
Ag 0.8677 0.6589 0.9043
Ag 0.6930 0.2209 0.9915
Ag 0.1323 0.3411 0.0957


# 10
Material: ErMg2Ag
Method: DFT, PBE
State: relaxed

Values from the calculation:
crystal system = tetragonal
density of states at the Fermi level = 2.280 states/eV/cell
formation energy from the elements = -115 meV per atom

Unit cell a=4.9104 b=4.3310 c=4.3310 alpha=90.00 beta=90.00 gamma=90.00
Positions (direct):
Er 0.5000 0.0000 0.0000
Mg 0.0000 0.5000 0.0000
Mg 0.0000 0.0000 0.5000
Ag 0.5000 0.5000 0.5000


# 11
Material: ErMg3Ag
Method: DFT, PBE
State: relaxed

Values from the calculation:
distance to the lowest polymorph of the same formula = 0.0 meV/atom
crystal system = orthorhombic
density of states at the Fermi level = 6.283 states/eV/cell
formation energy from the elements = -138 meV per atom

Unit cell a=4.4265 b=7.4824 c=7.4824 alpha=110.32 beta=90.00 gamma=90.00
Positions (direct):
Mg 0.0000 0.0594 0.3256
Mg 0.0000 0.5000 0.5000
Mg 0.0000 0.3256 0.0594
Mg 0.0000 0.9406 0.6744
Mg 0.5000 0.0000 0.0000
Mg 0.0000 0.6744 0.9406
Er 0.5000 0.7138 0.2862
Er 0.5000 0.2862 0.7138
Ag 0.5000 0.6894 0.6894
Ag 0.5000 0.3106 0.3106


# 12
Material: ErMg8Ag2
Method: DFT, PBE
State: relaxed

Values from the calculation:
crystal system = monoclinic
density of states at the Fermi level = 4.771 states/eV/cell
formation energy from the elements = -10 meV per atom

Unit cell a=5.3003 b=7.4848 c=7.4848 alpha=113.87 beta=80.76 gamma=80.76
Positions (direct):
Mg 0.0963 0.9214 0.6796
Mg 0.2976 0.4060 0.4060
Mg 0.9037 0.0786 0.3204
Mg 0.7024 0.5940 0.5940
Mg 0.9037 0.3204 0.0786
Mg 0.5000 0.2562 0.7438
Mg 0.5000 0.7438 0.2562
Mg 0.0963 0.6796 0.9214
Ag 0.0000 0.3075 0.6925
Ag 0.0000 0.6925 0.3075
Er 0.5000 0.0000 0.0000


# 13
Material: ErMg4Ag
Method: DFT, PBE
State: relaxed

Values from the calculation:
distance to the lowest polymorph of the same formula = 0.0 meV/atom
crystal system = orthorhombic
density of states at the Fermi level = 5.429 states/eV/cell
formation energy from the elements = -120 meV per atom

Unit cell a=3.9364 b=7.8354 c=9.0205 alpha=90.00 beta=90.00 gamma=90.00
Positions (direct):
Er 0.0000 0.4007 0.2500
Er 0.0000 0.5993 0.7500
Ag 0.0000 0.7937 0.2500
Ag 0.0000 0.2063 0.7500
Mg 0.0000 0.0000 0.0000
Mg 0.5000 0.3150 0.5477
Mg 0.5000 0.6850 0.0477
Mg 0.5000 0.9337 0.7500
Mg 0.0000 0.0000 0.5000
Mg 0.5000 0.3150 0.9523
Mg 0.5000 0.6850 0.4523
Mg 0.5000 0.0663 0.2500


# 14
Material: Er4MgAg3
Method: DFT, PBE
State: relaxed

Values from the calculation:
crystal system = orthorhombic
density of states at the Fermi level = 6.146 states/eV/cell
formation energy from the elements = -254 meV per atom

Unit cell a=3.6442 b=5.1421 c=10.2718 alpha=90.00 beta=90.00 gamma=90.00
Positions (direct):
Er 0.0000 0.5000 0.7416
Er 0.0000 0.0000 0.0000
Er 0.0000 0.0000 0.5000
Er 0.0000 0.5000 0.2584
Ag 0.5000 0.5000 0.5000
Ag 0.5000 0.0000 0.2411
Ag 0.5000 0.0000 0.7589
Mg 0.5000 0.5000 0.0000


# 15
Material: Er11Mg9Ag4
Method: DFT, PBE
State: relaxed

Values from the calculation:
crystal system = orthorhombic
density of states at the Fermi level = 24.230 states/eV/cell
formation energy from the elements = -152 meV per atom

Unit cell a=3.6693 b=13.4956 c=13.4956 alpha=113.09 beta=90.00 gamma=90.00
Positions (direct):
Er 0.0000 0.7094 0.7094
Er 0.0000 0.6370 0.3630
Er 0.0000 0.3630 0.6370
Er 0.0000 0.0000 0.0000
Er 0.0000 0.8410 0.1590
Er 0.0000 0.9301 0.5860
Er 0.0000 0.4140 0.0699
Er 0.0000 0.1590 0.8410
Er 0.0000 0.5860 0.9301
Er 0.0000 0.0699 0.4140
Er 0.0000 0.2906 0.2906
Mg 0.5000 0.8486 0.3660
Mg 0.5000 0.2130 0.0642
Mg 0.5000 0.9358 0.7870
Mg 0.5000 0.1514 0.6340
Mg 0.5000 0.5000 0.5000
Mg 0.5000 0.6340 0.1514
Mg 0.5000 0.3660 0.8486
Mg 0.5000 0.7870 0.9358
Mg 0.5000 0.0642 0.2130
Ag 0.5000 0.2536 0.4496
Ag 0.5000 0.5504 0.7464
Ag 0.5000 0.7464 0.5504
Ag 0.5000 0.4496 0.2536


# 16
Material: Er3Mg2Ag2
Method: DFT, PBE
State: relaxed

Values from the calculation:
distance to the lowest polymorph of the same formula = 0.0 meV/atom
crystal system = orthorhombic
density of states at the Fermi level = 3.517 states/eV/cell
formation energy from the elements = -142 meV per atom

Unit cell a=3.5268 b=3.4747 c=14.6248 alpha=90.00 beta=83.07 gamma=90.00
Positions (direct):
Ag 0.5645 0.5000 0.8711
Ag 0.4355 0.5000 0.1289
Mg 0.2935 0.5000 0.4130
Mg 0.7065 0.5000 0.5870
Er 0.0000 0.0000 0.0000
Er 0.1279 0.0000 0.7443
Er 0.8721 0.0000 0.2557


# 17
Material: Er6Mg5Ag
Method: DFT, PBE
State: relaxed

Values from the calculation:
crystal system = monoclinic
density of states at the Fermi level = 15.077 states/eV/cell
formation energy from the elements = -95 meV per atom

Unit cell a=5.3107 b=7.3769 c=8.4215 alpha=90.00 beta=71.34 gamma=90.00
Positions (direct):
Ag 0.0000 0.0000 0.0000
Mg 0.0000 0.5000 0.0000
Mg 0.6681 0.5000 0.6631
Mg 0.3260 0.0000 0.3465
Mg 0.6740 0.0000 0.6535
Mg 0.3319 0.5000 0.3369
Er 0.5000 0.2435 0.0000
Er 0.8371 0.7519 0.3256
Er 0.1629 0.2481 0.6744
Er 0.1629 0.7519 0.6744
Er 0.5000 0.7565 0.0000
Er 0.8371 0.2481 0.3256


# 18
Material: ErMg14Ag
Method: DFT, PBE
State: relaxed

Values from the calculation:
crystal system = tetragonal
density of states at the Fermi level = 7.280 states/eV/cell
formation energy from the elements = -5 meV per atom

Unit cell a=6.5552 b=6.5552 c=8.6195 alpha=90.00 beta=90.00 gamma=90.01
Positions (direct):
Er 0.8750 0.8750 0.5000
Mg 0.1315 0.6185 0.7473
Mg 0.6185 0.6185 0.7473
Mg 0.8750 0.3750 0.5000
Mg 0.6185 0.1315 0.2527
Mg 0.3750 0.8750 0.0000
Mg 0.1315 0.6185 0.2527
Mg 0.1316 0.1316 0.2527
Mg 0.3750 0.3750 0.0000
Mg 0.6185 0.6185 0.2527
Mg 0.8750 0.3750 0.0000
Mg 0.1316 0.1316 0.7473
Mg 0.6185 0.1315 0.7473
Mg 0.8750 0.8750 0.0000
Mg 0.3750 0.8750 0.5000
Ag 0.3750 0.3750 0.5000


# 19
Material: ErMg4Ag
Method: DFT, PBE
State: relaxed

Values from the calculation:
distance to the lowest polymorph of the same formula = 9.1 meV/atom
crystal system = tetragonal
density of states at the Fermi level = 3.244 states/eV/cell
formation energy from the elements = -111 meV per atom

Unit cell a=3.4072 b=3.4072 c=11.6873 alpha=89.99 beta=89.99 gamma=90.00
Positions (direct):
Mg 0.5000 0.5000 0.1950
Mg 0.0000 0.0000 0.6351
Mg 0.5000 0.5000 0.8050
Mg 0.0000 0.0000 0.3649
Er 0.0000 0.0000 0.0000
Ag 0.5000 0.5000 0.5000


# 20
Material: Er5MgAg4
Method: DFT, PBE
State: relaxed

Values from the calculation:
crystal system = tetragonal
density of states at the Fermi level = 6.471 states/eV/cell
formation energy from the elements = -277 meV per atom

Unit cell a=3.6146 b=3.6146 c=18.3421 alpha=90.00 beta=90.00 gamma=90.00
Positions (direct):
Er 0.5000 0.5000 0.8924
Er 0.5000 0.5000 0.5000
Er 0.5000 0.5000 0.1076
Er 0.5000 0.5000 0.3032
Er 0.5000 0.5000 0.6968
Ag 0.0000 0.0000 0.5980
Ag 0.0000 0.0000 0.7972
Ag 0.0000 0.0000 0.4020
Ag 0.0000 0.0000 0.2028
Mg 0.0000 0.0000 0.0000


# 21
Material: Er2MgAg3
Method: DFT, PBE
State: relaxed

Values from the calculation:
distance to the lowest polymorph of the same formula = 0.0 meV/atom
crystal system = trigonal
density of states at the Fermi level = 6.137 states/eV/cell
formation energy from the elements = -301 meV per atom

Unit cell a=4.9937 b=4.9937 c=12.1698 alpha=90.00 beta=90.00 gamma=120.00
Positions (direct):
Ag 0.0000 0.0000 0.7464
Ag 0.0000 0.0000 0.2536
Ag 0.6667 0.3333 0.0836
Ag 0.3333 0.6667 0.9164
Ag 0.3333 0.6667 0.4220
Ag 0.6667 0.3333 0.5780
Mg 0.6667 0.3333 0.3347
Mg 0.3333 0.6667 0.6653
Er 0.3333 0.6667 0.1762
Er 0.0000 0.0000 0.0000
Er 0.6667 0.3333 0.8238
Er 0.0000 0.0000 0.5000